(1)
The following is a PBE-GGA calculation of a relaxed structure of La3ZnPt8, from OQMD via LeMat-Bulk.

Output
ΔE_f in eV/atom: -0.963
SG: R3m

Lattice parameters (Å, degrees): 9.523 9.523 9.523 33.65 33.65 33.65
Fractional positions:
La (0.000, 0.000, 0.000)
La (0.130, 0.130, 0.130)
La (0.611, 0.611, 0.611)
Zn (0.481, 0.481, 0.481)
Pt (0.059, 0.059, 0.564)
Pt (0.059, 0.564, 0.059)
Pt (0.060, 0.561, 0.561)
Pt (0.311, 0.311, 0.311)
Pt (0.561, 0.060, 0.561)
Pt (0.561, 0.561, 0.060)
Pt (0.564, 0.059, 0.059)
Pt (0.811, 0.811, 0.811)

=====

(2)
The following is a PBE-GGA calculation of a relaxed structure of CsTaB, from OQMD via LeMat-Bulk.

Output
Final energy in eV per atom: -3.93
SG: F-43m

Lattice parameters (Å, degrees): 4.582 4.582 4.582 60.00 60.00 60.00
Fractional positions:
Cs (0.000, 0.000, 0.000)
Ta (0.750, 0.750, 0.750)
B (0.500, 0.500, 0.500)

=====

(3)
The following is a PBE-GGA calculation of a relaxed structure of YCdFeSi, from OQMD via LeMat-Bulk.

Output
Final energy in eV per atom: -5.10
SG: F-43m

Lattice parameters (Å, degrees): 4.679 4.679 4.679 60.00 60.00 60.00
Fractional positions:
Y (0.000, 0.000, 0.000)
Cd (0.250, 0.250, 0.250)
Fe (0.750, 0.750, 0.750)
Si (0.500, 0.500, 0.500)

=====

(4)
The following is a PBE-GGA calculation of a relaxed structure of RbReTe3Au, from OQMD via LeMat-Bulk.

Output
Final energy in eV per atom: -4.35
SG: Cmcm

Lattice parameters (Å, degrees): 8.538 8.538 10.887 90.00 90.00 152.66
Fractional positions:
Rb (0.239, 0.761, 0.750)
Rb (0.761, 0.239, 0.250)
Re (0.000, 0.000, 0.000)
Re (0.000, 0.000, 0.500)
Te (0.061, 0.939, 0.250)
Te (0.386, 0.614, 0.020)
Te (0.386, 0.614, 0.480)
Te (0.614, 0.386, 0.520)
Te (0.614, 0.386, 0.980)
Te (0.939, 0.061, 0.750)
Au (0.443, 0.557, 0.250)
Au (0.557, 0.443, 0.750)

=====

(5)
The following is a PBE-GGA calculation of a relaxed structure of Nd2Ho2CI2Cl3, from OQMD via LeMat-Bulk.

Output
Final energy in eV per atom: -5.10
SG: C2/m

Lattice parameters (Å, degrees): 9.478 9.478 8.126 100.50 100.50 23.75
Fractional positions:
Nd (0.001, 0.001, 0.286)
Nd (0.999, 0.999, 0.714)
Ho (0.369, 0.369, 0.433)
Ho (0.631, 0.631, 0.567)
C (0.500, 0.500, 0.500)
I (0.176, 0.176, 0.311)
I (0.824, 0.824, 0.689)
Cl (0.155, 0.155, 0.804)
Cl (0.500, 0.500, 0.000)
Cl (0.845, 0.845, 0.196)

=====

(6)
The following is a PBE-GGA calculation of a relaxed structure of Cd3Pb2Br, from OQMD via LeMat-Bulk.

Output
Final energy in eV per atom: -1.99
SG: P6/mmm

Lattice parameters (Å, degrees): 6.192 6.192 5.355 90.00 90.00 120.00
Fractional positions:
Cd (0.000, 0.500, 0.000)
Cd (0.500, 0.000, 0.000)
Cd (0.500, 0.500, 0.000)
Pb (0.333, 0.667, 0.500)
Pb (0.667, 0.333, 0.500)
Br (0.000, 0.000, 0.500)

=====

(7)
The following is a PBE-GGA calculation of a relaxed structure of Pr2YIn3Ni3, from OQMD via LeMat-Bulk.

Output
Final energy in eV per atom: -5.02
SG: Amm2

Lattice parameters (Å, degrees): 3.896 7.563 7.563 120.34 90.00 90.00
Fractional positions:
Pr (0.000, 0.206, 0.794)
Pr (0.000, 0.794, 0.206)
Y (0.000, 0.383, 0.383)
In (0.500, 0.049, 0.049)
In (0.500, 0.543, 0.787)
In (0.500, 0.787, 0.543)
Ni (0.000, 0.792, 0.792)
Ni (0.500, 0.130, 0.459)
Ni (0.500, 0.459, 0.130)

=====

(8)
The following is a PBE-GGA calculation of a relaxed structure of NaZrGaS3, from OQMD via LeMat-Bulk.

Output
Final energy in eV per atom: -5.11
SG: Cmcm

Lattice parameters (Å, degrees): 7.234 7.234 9.761 90.00 90.00 151.27
Fractional positions:
Na (0.245, 0.755, 0.750)
Na (0.755, 0.245, 0.250)
Zr (0.000, 0.000, 0.000)
Zr (0.000, 0.000, 0.500)
Ga (0.467, 0.533, 0.250)
Ga (0.533, 0.467, 0.750)
S (0.085, 0.915, 0.250)
S (0.366, 0.634, 0.062)
S (0.366, 0.634, 0.438)
S (0.634, 0.366, 0.562)
S (0.634, 0.366, 0.938)
S (0.915, 0.085, 0.750)

=====

(9)
The following is a PBE-GGA calculation of a relaxed structure of KZr5, from OQMD via LeMat-Bulk.

Output
Final energy in eV per atom: -6.76
SG: P-62m

Lattice parameters (Å, degrees): 5.817 5.817 5.232 90.00 90.00 120.00
Fractional positions:
K (0.000, 0.000, 0.000)
Zr (0.000, 0.623, 0.500)
Zr (0.333, 0.667, 0.000)
Zr (0.377, 0.377, 0.500)
Zr (0.623, 0.000, 0.500)
Zr (0.667, 0.333, 0.000)

=====

(10)
The following is a PBE-GGA calculation of a relaxed structure of LaAl2ZnPt, from OQMD via LeMat-Bulk.

Output
Final energy in eV per atom: -4.66
SG: I-4m2

Lattice parameters (Å, degrees): 6.070 6.070 6.070 137.60 137.60 61.51
Fractional positions:
La (0.000, 0.000, 0.000)
Al (0.373, 0.373, 0.000)
Al (0.627, 0.627, 0.000)
Zn (0.750, 0.250, 0.500)
Pt (0.250, 0.750, 0.500)

=====

(11)
The following is a PBE-GGA calculation of a relaxed structure of CsNaOs, from OQMD via LeMat-Bulk.

Output
Final energy in eV per atom: -2.72
SG: F-43m

Lattice parameters (Å, degrees): 5.356 5.356 5.356 60.00 60.00 60.00
Fractional positions:
Cs (0.000, 0.000, 0.000)
Na (0.500, 0.500, 0.500)
Os (0.250, 0.250, 0.250)

=====

(12)
The following is a PBE-GGA calculation of a relaxed structure of RbScCdSe3, from OQMD via LeMat-Bulk.

Output
Final energy in eV per atom: -4.35
SG: P2_1/m

Lattice parameters (Å, degrees): 8.800 4.132 10.523 90.00 111.09 90.00
Fractional positions:
Rb (0.241, 0.250, 0.258)
Rb (0.759, 0.750, 0.742)
Sc (0.329, 0.750, 0.874)
Sc (0.671, 0.250, 0.126)
Cd (0.084, 0.250, 0.615)
Cd (0.916, 0.750, 0.385)
Se (0.114, 0.250, 0.871)
Se (0.244, 0.750, 0.561)
Se (0.472, 0.750, 0.140)
Se (0.528, 0.250, 0.860)
Se (0.756, 0.250, 0.439)
Se (0.886, 0.750, 0.129)

=====

(13)
The following is a PBE-GGA calculation of a relaxed structure of ScBe2Cu2, from OQMD via LeMat-Bulk.

Output
Final energy in eV per atom: -4.31
SG: I4/mmm

Lattice parameters (Å, degrees): 5.434 5.434 5.434 140.58 140.58 56.97
Fractional positions:
Sc (0.000, 0.000, 0.000)
Be (0.250, 0.750, 0.500)
Be (0.750, 0.250, 0.500)
Cu (0.377, 0.377, 0.000)
Cu (0.623, 0.623, 0.000)

=====

(14)
The following is a PBE-GGA calculation of a relaxed structure of Li2Mg2In2FeAu, from OQMD via LeMat-Bulk.

Output
Final energy in eV per atom: -3.23
SG: P-4m2

Lattice parameters (Å, degrees): 4.555 4.555 6.708 90.00 90.00 90.00
Fractional positions:
Li (0.000, 0.000, 0.000)
Li (0.500, 0.500, 0.500)
Mg (0.000, 0.500, 0.247)
Mg (0.500, 0.000, 0.753)
In (0.000, 0.500, 0.770)
In (0.500, 0.000, 0.230)
Fe (0.500, 0.500, 0.000)
Au (0.000, 0.000, 0.500)

=====

(15)
The following is a PBE-GGA calculation of a relaxed structure of Tb3In3CuNiPd, from OQMD via LeMat-Bulk.

Output
Final energy in eV per atom: -4.66
SG: P-6

Lattice parameters (Å, degrees): 7.574 7.574 3.850 90.00 90.00 120.00
Fractional positions:
Tb (0.009, 0.592, 0.000)
Tb (0.408, 0.417, 0.000)
Tb (0.583, 0.991, 0.000)
In (0.003, 0.255, 0.500)
In (0.253, 0.997, 0.500)
In (0.745, 0.747, 0.500)
Cu (0.000, 0.000, 0.000)
Ni (0.333, 0.667, 0.500)
Pd (0.667, 0.333, 0.500)

=====

(16)
The following is a PBE-GGA calculation of a relaxed structure of TmTc4P2, from OQMD via LeMat-Bulk.

Output
Final energy in eV per atom: -8.81
SG: Cmmm

Lattice parameters (Å, degrees): 7.011 7.011 4.000 90.00 90.00 146.48
Fractional positions:
Tm (0.000, 0.000, 0.000)
Tc (0.182, 0.818, 0.500)
Tc (0.310, 0.690, 0.000)
Tc (0.690, 0.310, 0.000)
Tc (0.818, 0.182, 0.500)
P (0.415, 0.585, 0.500)
P (0.585, 0.415, 0.500)

=====

(17)
The following is a PBE-GGA calculation of a relaxed structure of TlP5Pt3, from OQMD via LeMat-Bulk.

Output
Final energy in eV per atom: -5.09
SG: P6/mmm

Lattice parameters (Å, degrees): 5.733 5.733 6.854 90.00 90.00 120.00
Fractional positions:
Tl (0.000, 0.000, 0.000)
P (0.000, 0.000, 0.500)
P (0.333, 0.667, 0.242)
P (0.333, 0.667, 0.758)
P (0.667, 0.333, 0.242)
P (0.667, 0.333, 0.758)
Pt (0.000, 0.500, 0.500)
Pt (0.500, 0.000, 0.500)
Pt (0.500, 0.500, 0.500)

=====

(18)
The following is a PBE-GGA calculation of a relaxed structure of NaMgPd2, from OQMD via LeMat-Bulk.

Output
Final energy in eV per atom: -3.65
SG: P4/mmm

Lattice parameters (Å, degrees): 4.309 4.309 3.628 90.00 90.00 90.00
Fractional positions:
Na (0.000, 0.000, 0.000)
Mg (0.500, 0.500, 0.000)
Pd (0.000, 0.500, 0.500)
Pd (0.500, 0.000, 0.500)

=====

(19)
The following is a PBE-GGA calculation of a relaxed structure of NaLuAu, from OQMD via LeMat-Bulk.

Output
Final energy in eV per atom: -2.80
SG: F-43m

Lattice parameters (Å, degrees): 4.713 4.713 4.713 60.00 60.00 60.00
Fractional positions:
Na (0.000, 0.000, 0.000)
Lu (0.250, 0.250, 0.250)
Au (0.750, 0.750, 0.750)

=====

(20)
The following is a PBE-GGA calculation of a relaxed structure of DyAl, from OQMD via LeMat-Bulk.

Output
Final energy in eV per atom: -3.21
SG: F-43m

Lattice parameters (Å, degrees): 4.778 4.778 4.778 60.00 60.00 60.00
Fractional positions:
Dy (0.000, 0.000, 0.000)
Al (0.250, 0.250, 0.250)